Material: Dy4Ho2Tm5
Method: DFT, PBE-GGA
State: optimized geometry

Results
* energy: -4.480 eV per atom
* magnetization: 0.00 μB/f.u.
* energy of formation from the pure elements: 0.058 eV per atom
* E above lowest polymorph: 0 meV/atom

Unit cell a=3.6116 b=9.7629 c=12.5192 alpha=123.71 beta=81.71 gamma=111.73
Sites, in units of the cell vectors:
Dy 0.7546 0.4261 0.3429
Dy 0.3255 0.3527 0.0545
Dy 0.2454 0.5739 0.6571
Dy 0.6745 0.6473 0.9455
Ho 0.8902 0.2750 0.7697
Ho 0.1098 0.7250 0.2303
Tm 0.9233 0.0411 0.2361
Tm 0.0767 0.9589 0.7639
Tm 0.5795 0.8295 0.4997
Tm 0.5000 0.0000 0.0000
Tm 0.4205 0.1705 0.5003